i:
10
Lattice="7.395 0.000 0.000 0.000 7.395 0.000 0.000 0.000 2.923" Properties=species:S:1:pos:R:3 comment="GGA-PBE Li2Mg2Mn, optimized geometry" space_group="No. 127" dos_at_fermi_per_ev_atom=1.640 pbc="T T T"
Li 0.909 2.789 0.000
Li 2.789 6.486 0.000
Li 4.606 0.909 0.000
Li 6.486 4.606 0.000
Mg 1.342 5.039 1.461
Mg 2.356 1.342 1.461
Mg 5.039 6.053 1.461
Mg 6.053 2.356 1.461
Mn 0.000 0.000 0.000
Mn 3.697 3.697 0.000

=====

ii:
5
Lattice="-2.500 2.500 3.814 2.500 -2.500 3.814 2.500 2.500 -3.814" Properties=species:S:1:pos:R:3 comment="GGA-PBE Li2Mg2Mn, optimized geometry" space_group="No. 139" dos_at_fermi_per_ev_atom=0.704 pbc="T T T"
Li 0.000 0.000 1.090
Li 0.000 0.000 6.538
Mg 2.500 0.000 1.907
Mg 0.000 2.500 1.907
Mn 0.000 0.000 3.814

=====

Which is most stable? The ranking, best first, is ii, i.

=====

i:
4
Lattice="2.810 0.000 0.000 0.000 2.810 0.000 0.000 0.000 9.311" Properties=species:S:1:pos:R:3 comment="GGA-PBE LiMg2Mo, optimized geometry" space_group="No. 123" dos_at_fermi_per_ev_atom=0.913 pbc="T T T"
Li 0.000 0.000 0.000
Mg 1.405 1.405 2.450
Mg 1.405 1.405 6.861
Mo 0.000 0.000 4.655

=====

ii:
4
Lattice="2.777 0.000 0.000 0.000 2.777 0.000 0.000 0.000 9.419" Properties=species:S:1:pos:R:3 comment="GGA-PBE LiMg2Mo, optimized geometry" space_group="No. 99" dos_at_fermi_per_ev_atom=0.797 pbc="T T T"
Li 0.000 0.000 0.000
Mg 0.000 0.000 5.020
Mg 1.388 1.388 2.399
Mo 1.388 1.388 7.208

=====

iii:
4
Lattice="5.443 -1.364 0.000 5.443 1.364 0.000 -2.099 0.000 4.848" Properties=species:S:1:pos:R:3 comment="GGA-PBE LiMg2Mo, optimized geometry" space_group="No. 8" dos_at_fermi_per_ev_atom=0.767 pbc="T T T"
Li 0.000 0.000 0.000
Mg 0.713 0.000 4.566
Mg 4.357 0.000 2.390
Mo 7.241 0.000 2.159

=====

iv:
4
Lattice="0.000 3.321 3.321 3.321 0.000 3.321 3.321 3.321 0.000" Properties=species:S:1:pos:R:3 comment="GGA-PBE LiMg2Mo, optimized geometry" space_group="No. 216" dos_at_fermi_per_ev_atom=0.489 pbc="T T T"
Li 0.000 0.000 0.000
Mg 1.661 1.661 1.661
Mg 3.321 3.321 3.321
Mo 4.982 4.982 4.982

=====

Which is most stable? The ranking, best first, is i, ii, iii, iv.

=====

i:
5
Lattice="4.645 0.000 0.000 0.000 4.645 0.000 0.000 0.000 4.645" Properties=species:S:1:pos:R:3 comment="GGA-PBE LiMgMo3, optimized geometry" space_group="No. 221" dos_at_fermi_per_ev_atom=1.500 pbc="T T T"
Li 0.000 0.000 0.000
Mg 2.322 2.322 2.322
Mo 0.000 2.322 2.322
Mo 2.322 0.000 2.322
Mo 2.322 2.322 0.000

=====

ii:
5
Lattice="4.308 0.000 0.000 0.000 4.308 0.000 0.000 0.000 4.308" Properties=species:S:1:pos:R:3 comment="GGA-PBE LiMgMo3, optimized geometry" space_group="No. 221" dos_at_fermi_per_ev_atom=0.957 pbc="T T T"
Li 0.000 0.000 0.000
Mg 2.154 2.154 2.154
Mo 0.000 0.000 2.154
Mo 0.000 2.154 0.000
Mo 2.154 0.000 0.000

=====

Which is most stable? The ranking, best first, is ii, i.

=====

i:
5
Lattice="4.575 0.000 0.000 0.000 4.575 0.000 0.000 0.000 4.575" Properties=species:S:1:pos:R:3 comment="GGA-PBE LiMg3Mo, optimized geometry" space_group="No. 221" dos_at_fermi_per_ev_atom=0.568 pbc="T T T"
Li 0.000 0.000 0.000
Mg 0.000 0.000 2.288
Mg 0.000 2.288 0.000
Mg 2.288 0.000 0.000
Mo 2.288 2.288 2.288

=====

ii:
5
Lattice="5.293 0.000 0.000 0.000 5.293 0.000 0.000 0.000 5.293" Properties=species:S:1:pos:R:3 comment="GGA-PBE LiMg3Mo, optimized geometry" space_group="No. 221" dos_at_fermi_per_ev_atom=1.155 pbc="T T T"
Li 0.000 0.000 0.000
Mg 0.000 2.647 2.647
Mg 2.647 0.000 2.647
Mg 2.647 2.647 0.000
Mo 2.647 2.647 2.647

=====

Which is most stable? The ranking, best first, is i, ii.

=====

i:
16
Lattice="6.284 0.000 0.000 -3.142 5.442 0.000 0.000 0.000 10.046" Properties=species:S:1:pos:R:3 comment="GGA-PBE LiMg14Mo, optimized geometry" space_group="No. 187" dos_at_fermi_per_ev_atom=0.479 pbc="T T T"
Li 0.000 0.000 0.000
Mg 4.711 2.720 5.023
Mg -1.557 2.729 0.000
Mg 0.000 1.744 2.595
Mg 0.000 1.744 7.451
Mg -1.631 4.570 2.595
Mg -1.631 4.570 7.451
Mg 1.557 2.729 0.000
Mg 0.000 5.425 0.000
Mg 3.142 0.002 5.023
Mg 1.573 2.720 5.023
Mg 3.142 1.814 2.488
Mg 3.142 1.814 7.558
Mg 1.631 4.570 2.595
Mg 1.631 4.570 7.451
Mo 0.000 0.000 5.023

=====

ii:
16
Lattice="10.031 0.000 0.000 0.000 3.205 5.354 0.000 -3.205 5.354" Properties=species:S:1:pos:R:3 comment="GGA-PBE LiMg14Mo, optimized geometry" space_group="No. 38" dos_at_fermi_per_ev_atom=0.422 pbc="T T T"
Li 0.000 0.000 0.000
Mg 0.000 -1.594 2.712
Mg 0.000 1.594 2.712
Mg 2.335 -1.564 6.126
Mg 2.335 1.564 6.126
Mg 2.406 0.000 3.559
Mg 2.490 0.000 8.841
Mg 5.016 -1.616 7.988
Mg 5.016 0.000 5.337
Mg 5.016 1.616 7.988
Mg 5.016 0.000 10.684
Mg 7.541 0.000 8.841
Mg 7.625 0.000 3.559
Mg 7.696 -1.564 6.126
Mg 7.696 1.564 6.126
Mo 0.000 0.000 5.369

=====

Which is most stable? The ranking, best first, is i, ii.

=====

i:
5
Lattice="3.784 0.000 0.000 0.000 3.784 0.000 0.000 0.000 4.664" Properties=species:S:1:pos:R:3 comment="GGA-PBE LiMgSeN2, optimized geometry" space_group="No. 123" dos_at_fermi_per_ev_atom=0.600 pbc="T T T"
Li 0.000 0.000 0.000
Mg 1.892 1.892 2.332
Se 0.000 0.000 2.332
N 0.000 1.892 0.000
N 1.892 0.000 0.000

=====

ii:
5
Lattice="4.184 0.000 0.000 0.000 4.184 0.000 0.000 0.000 5.404" Properties=species:S:1:pos:R:3 comment="GGA-PBE LiMgSeN2, optimized geometry" space_group="No. 123" dos_at_fermi_per_ev_atom=0.467 pbc="T T T"
Li 0.000 0.000 0.000
Mg 2.092 2.092 2.702
Se 2.092 2.092 0.000
N 0.000 2.092 2.702
N 2.092 0.000 2.702

=====

Which is most stable? The ranking, best first, is ii, i.

=====

i:
5
Lattice="4.790 0.000 0.000 0.000 4.790 0.000 0.000 0.000 4.570" Properties=species:S:1:pos:R:3 comment="GGA-PBE LiY2MgN, optimized geometry" space_group="No. 123" dos_at_fermi_per_ev_atom=0.901 pbc="T T T"
Li 0.000 0.000 0.000
Y 0.000 2.395 2.285
Y 2.395 0.000 2.285
Mg 2.395 2.395 0.000
N 0.000 0.000 2.285

=====

ii:
5
Lattice="4.851 0.000 0.000 0.000 4.851 0.000 0.000 0.000 4.413" Properties=species:S:1:pos:R:3 comment="GGA-PBE LiY2MgN, optimized geometry" space_group="No. 123" dos_at_fermi_per_ev_atom=0.752 pbc="T T T"
Li 0.000 0.000 0.000
Y 0.000 2.426 2.207
Y 2.426 0.000 2.207
Mg 2.426 2.426 0.000
N 2.426 2.426 2.207

=====

Which is most stable? The ranking, best first, is i, ii.

=====

i:
5
Lattice="4.147 0.000 0.000 0.000 4.147 0.000 0.000 0.000 4.133" Properties=species:S:1:pos:R:3 comment="GGA-PBE Li2MgZnN, optimized geometry" space_group="No. 123" dos_at_fermi_per_ev_atom=0.515 pbc="T T T"
Li 0.000 2.074 0.000
Li 2.074 0.000 0.000
Mg 0.000 0.000 2.066
Zn 2.074 2.074 2.066
N 0.000 0.000 0.000

=====

ii:
5
Lattice="4.892 0.000 0.000 0.000 4.892 0.000 0.000 0.000 4.774" Properties=species:S:1:pos:R:3 comment="GGA-PBE Li2MgZnN, optimized geometry" space_group="No. 123" dos_at_fermi_per_ev_atom=1.045 pbc="T T T"
Li 0.000 2.446 0.000
Li 2.446 0.000 0.000
Mg 0.000 0.000 0.000
Zn 0.000 0.000 2.387
N 2.446 2.446 2.387

=====

Which is most stable? The ranking, best first, is i, ii.

=====

i:
5
Lattice="-2.023 2.023 7.769 2.023 -2.023 7.769 2.023 2.023 -7.769" Properties=species:S:1:pos:R:3 comment="GGA-PBE NaLi2Mg2, optimized geometry" space_group="No. 139" dos_at_fermi_per_ev_atom=0.513 pbc="T T T"
Na 0.000 0.000 0.000
Li 2.023 0.000 3.884
Li 0.000 2.023 3.884
Mg 0.000 0.000 6.157
Mg 0.000 0.000 9.380

=====

ii:
10
Lattice="8.608 0.000 0.000 0.000 8.608 0.000 0.000 0.000 3.256" Properties=species:S:1:pos:R:3 comment="GGA-PBE NaLi2Mg2, optimized geometry" space_group="No. 127" dos_at_fermi_per_ev_atom=0.370 pbc="T T T"
Na 0.000 0.000 0.000
Na 4.304 4.304 0.000
Li 1.417 2.887 1.628
Li 2.887 7.191 1.628
Li 5.720 1.417 1.628
Li 7.191 5.720 1.628
Mg 1.110 5.414 0.000
Mg 3.194 1.110 0.000
Mg 5.414 7.498 0.000
Mg 7.498 3.194 0.000

=====

Which is most stable? The ranking, best first, is ii, i.

=====

i:
4
Lattice="1.597 0.922 11.233 -1.597 0.922 11.233 0.000 -1.844 11.233" Properties=species:S:1:pos:R:3 comment="GGA-PBE NaLiMg2, optimized geometry" space_group="No. 166" dos_at_fermi_per_ev_atom=0.591 pbc="T T T"
Na 0.000 0.000 0.000
Li 0.000 0.000 16.849
Mg 0.000 0.000 3.172
Mg 0.000 0.000 30.526

=====

ii:
4
Lattice="2.865 -1.573 0.000 2.865 1.573 0.000 -2.360 0.000 10.759" Properties=species:S:1:pos:R:3 comment="GGA-PBE NaLiMg2, optimized geometry" space_group="No. 8" dos_at_fermi_per_ev_atom=0.440 pbc="T T T"
Na 0.000 0.000 0.000
Li 3.508 0.000 5.373
Mg -0.463 0.000 7.823
Mg 1.746 0.000 2.923

=====

Which is most stable? The ranking, best first, is ii, i.

=====

i:
4
Lattice="0.000 3.658 3.658 3.658 0.000 3.658 3.658 3.658 0.000" Properties=species:S:1:pos:R:3 comment="GGA-PBE NaLiMg2, optimized geometry" space_group="No. 225" dos_at_fermi_per_ev_atom=0.492 pbc="T T T"
Na 0.000 0.000 0.000
Li 3.658 3.658 3.658
Mg 1.829 1.829 1.829
Mg 5.487 5.487 5.487

=====

ii:
4
Lattice="3.536 0.000 0.000 0.000 3.536 0.000 0.000 0.000 7.829" Properties=species:S:1:pos:R:3 comment="GGA-PBE NaLiMg2, optimized geometry" space_group="No. 123" dos_at_fermi_per_ev_atom=0.514 pbc="T T T"
Na 0.000 0.000 0.000
Li 0.000 0.000 3.914
Mg 1.768 1.768 2.333
Mg 1.768 1.768 5.495

=====

Which is most stable? The ranking, best first, is ii, i.

=====

i:
4
Lattice="4.517 0.000 0.000 0.000 4.517 0.000 0.000 0.000 4.868" Properties=species:S:1:pos:R:3 comment="GGA-PBE NaLiMg2, optimized geometry" space_group="No. 123" dos_at_fermi_per_ev_atom=0.413 pbc="T T T"
Na 0.000 0.000 0.000
Li 2.259 2.259 0.000
Mg 0.000 2.259 2.434
Mg 2.259 0.000 2.434

=====

ii:
8
Lattice="-2.180 2.180 11.224 2.180 -2.180 11.224 2.180 2.180 -11.224" Properties=species:S:1:pos:R:3 comment="GGA-PBE NaLiMg2, optimized geometry" space_group="No. 122" dos_at_fermi_per_ev_atom=0.430 pbc="T T T"
Na 0.000 0.000 0.000
Na 0.000 2.180 5.612
Li 2.180 0.000 5.612
Li 0.000 0.000 11.224
Mg 1.090 -1.049 8.418
Mg 1.131 1.090 2.806
Mg 1.090 3.229 -2.806
Mg 1.049 1.090 14.030

=====

Which is most stable? The ranking, best first, is i, ii.